A:
Below is a relaxed Dy2BeZn crystal, with properties calculated at the PBE level.

```
Dy2BeZn
1.0
1.6832 0.9718 10.2118
-1.6832 0.9718 10.2118
0.0000 -1.9436 10.2118
Dy Be Zn
2 1 1
direct
0.1012 0.1012 0.1012
0.8988 0.8988 0.8988
0.5000 0.5000 0.5000
0.0000 0.0000 0.0000
```

Space group: R-3m (166)
Total magnetization: 0.00 μB/f.u.
DOS at the Fermi energy: 0.97 states/eV/atom

---

B:
Below is a relaxed Dy2BeZn crystal, with properties calculated at the PBE level.

```
Dy2BeZn
1.0
0.0000 3.4942 3.4942
3.4942 0.0000 3.4942
3.4942 3.4942 0.0000
Dy Be Zn
2 1 1
direct
0.2500 0.2500 0.2500
0.7500 0.7500 0.7500
0.0000 0.0000 0.0000
0.5000 0.5000 0.5000
```

Space group: Fm-3m (225)
Total magnetization: 0.00 μB/f.u.
DOS at the Fermi energy: 1.04 states/eV/atom

---

Preferred: B; penalty for the next structure: 526 meV per atom.

---

A:
Below is a relaxed EuEr2Be crystal, with properties calculated at the PBE level.

```
EuEr2Be
1.0
3.4651 0.0000 0.0000
0.0000 3.4651 0.0000
0.0000 0.0000 8.9416
Eu Er Be
1 2 1
direct
0.0000 0.0000 0.0000
0.5000 0.5000 0.3214
0.5000 0.5000 0.6786
0.0000 0.0000 0.5000
```

Space group: P4/mmm (123)
Total magnetization: 7.54 μB/f.u.
DOS at the Fermi energy: 0.98 states/eV/atom

---

B:
Below is a relaxed EuEr2Be crystal, with properties calculated at the PBE level.

```
EuEr2Be
1.0
1.7656 1.0194 10.7440
-1.7656 1.0194 10.7440
0.0000 -2.0387 10.7440
Eu Er Be
1 2 1
direct
0.0000 0.0000 0.0000
0.1084 0.1084 0.1084
0.8916 0.8916 0.8916
0.5000 0.5000 0.5000
```

Space group: R-3m (166)
Total magnetization: 7.55 μB/f.u.
DOS at the Fermi energy: 1.02 states/eV/atom

---

Preferred: A; penalty for the next structure: 236 meV per atom.

---

A:
Below is a relaxed Er2BeGa3 crystal, with properties calculated at the PBE level.

```
Er2BeGa3
1.0
0.0000 4.2223 7.3063
3.6789 0.0000 7.3063
3.6789 4.2223 0.0000
Er Be Ga
4 2 6
direct
0.2463 0.7537 0.7537
0.2500 0.2500 0.2500
0.7500 0.7500 0.7500
0.7537 0.2463 0.2463
0.3331 0.3331 0.6669
0.6669 0.6669 0.3331
0.1735 0.1735 0.8265
0.1739 0.6525 0.3475
0.3475 0.8261 0.1739
0.6525 0.1739 0.8261
0.8261 0.3475 0.6525
0.8265 0.8265 0.1735
```

Space group: Fmmm (69)
Total magnetization: 0.00 μB/f.u.
DOS at the Fermi energy: 0.51 states/eV/atom

---

B:
Below is a relaxed Er2BeGa3 crystal, with properties calculated at the PBE level.

```
Er2BeGa3
1.0
3.7573 0.0000 0.0000
0.0000 4.1902 0.0000
0.0000 0.0000 7.2548
Er Be Ga
2 1 3
direct
0.0000 0.0000 0.0000
0.0000 0.5000 0.4896
0.5000 0.0000 0.3233
0.5000 0.0000 0.6423
0.5000 0.5000 0.1762
0.5000 0.5000 0.8299
```

Space group: Pmm2 (25)
Total magnetization: 0.00 μB/f.u.
DOS at the Fermi energy: 0.60 states/eV/atom

---

Preferred: A; penalty for the next structure: 6 meV per atom.